# TmSc2Fe9 | the Alexandria database | PBE | relaxed
data_TmSc2Fe9
_chemical_formula_sum 'Tm3 Sc6 Fe27'
_cell_length_a 4.9466
_cell_length_b 4.9466
_cell_length_c 23.7054
_cell_angle_alpha 90.00
_cell_angle_beta 90.00
_cell_angle_gamma 120.00
_space_group_name_H-M_alt 'R -3 m'
_space_group_IT_number 166
_space_group_name_Hall '-R 3 2"'
loop_
_atom_site_label
_atom_site_type_symbol
_atom_site_fract_x
_atom_site_fract_y
_atom_site_fract_z
_atom_site_occupancy
Tm1 Tm 0.0000 0.0000 0.0000 1
Sc1 Sc 0.0000 0.0000 0.1430 1
Fe1 Fe 0.0000 0.0000 0.3330 1
Fe2 Fe 0.0000 0.0000 0.5000 1
Fe3 Fe 0.0025 0.5012 0.9159 1
# Fermi-level density of states = 30.25 states/eV/cell
# Crystal system = trigonal
# Formation energy from the elements = -178 meV/atom

# LaTbPrPu | the Alexandria database | PBE | relaxed
data_LaTbPrPu
_chemical_formula_sum 'La4 Tb4 Pr4 Pu4'
_cell_length_a 8.112
_cell_length_b 8.112
_cell_length_c 8.112
_cell_angle_alpha 90.00
_cell_angle_beta 90.00
_cell_angle_gamma 90.00
_space_group_name_H-M_alt 'F -4 3 m'
_space_group_IT_number 216
_space_group_name_Hall 'F -4 2 3'
loop_
_atom_site_label
_atom_site_type_symbol
_atom_site_fract_x
_atom_site_fract_y
_atom_site_fract_z
_atom_site_occupancy
La1 La 0.000 0.000 0.000 1
Tb1 Tb 0.250 0.250 0.250 1
Pr1 Pr 0.000 0.000 0.500 1
Pu1 Pu 0.250 0.250 0.750 1
# Fermi-level density of states = 57.16 states/eV/cell
# Crystal system = cubic
# Formation energy from the elements = 213 meV/atom

# RbAgP2 | the Alexandria database | PBE | relaxed
data_RbAgP2
_chemical_formula_sum 'Rb4 Ag4 P8'
_cell_length_a 7.077
_cell_length_b 7.077
_cell_length_c 7.077
_cell_angle_alpha 90.00
_cell_angle_beta 90.00
_cell_angle_gamma 90.00
_space_group_name_H-M_alt 'F m -3 m'
_space_group_IT_number 225
_space_group_name_Hall '-F 4 2 3'
loop_
_atom_site_label
_atom_site_type_symbol
_atom_site_fract_x
_atom_site_fract_y
_atom_site_fract_z
_atom_site_occupancy
Rb1 Rb 0.000 0.000 0.000 1
Ag1 Ag 0.000 0.000 0.500 1
P1 P 0.250 0.250 0.250 1
# Offset from the most stable computed form = 0.887 eV/atom
# Fermi-level density of states = 11.09 states/eV/cell
# Crystal system = cubic
# Formation energy from the elements = 726 meV/atom

# KTa2Cd | the Alexandria database | PBE | relaxed
data_KTa2Cd
_chemical_formula_sum 'K1 Ta2 Cd1'
_cell_length_a 3.439
_cell_length_b 3.439
_cell_length_c 8.914
_cell_angle_alpha 90.00
_cell_angle_beta 90.00
_cell_angle_gamma 90.00
_space_group_name_H-M_alt 'P 4 m m'
_space_group_IT_number 99
_space_group_name_Hall 'P 4 -2'
loop_
_atom_site_label
_atom_site_type_symbol
_atom_site_fract_x
_atom_site_fract_y
_atom_site_fract_z
_atom_site_occupancy
K1 K 0.000 0.000 0.000 1
Ta1 Ta 0.000 0.000 0.478 1
Ta2 Ta 0.500 0.500 0.338 1
Cd1 Cd 0.500 0.500 0.684 1
# Fermi-level density of states = 2.87 states/eV/cell
# Crystal system = tetragonal
# Formation energy from the elements = 585 meV/atom

# YScIn | the Alexandria database | PBE | relaxed
data_YScIn
_chemical_formula_sum 'Y1 Sc1 In1'
_cell_length_a 5.0685
_cell_length_b 5.0685
_cell_length_c 3.6119
_cell_angle_alpha 90.00
_cell_angle_beta 90.00
_cell_angle_gamma 120.00
_space_group_name_H-M_alt 'P -6 m 2'
_space_group_IT_number 187
_space_group_name_Hall 'P -6 2'
loop_
_atom_site_label
_atom_site_type_symbol
_atom_site_fract_x
_atom_site_fract_y
_atom_site_fract_z
_atom_site_occupancy
Y1 Y 0.0000 0.0000 0.0000 1
Sc1 Sc 0.3333 0.6667 0.5000 1
In1 In 0.6667 0.3333 0.5000 1
# Offset from the most stable computed form = 0.114 eV/atom
# Fermi-level density of states = 3.33 states/eV/cell
# Crystal system = hexagonal
# Formation energy from the elements = -271 meV/atom

# YAl2FeHg | the Alexandria database | PBE | relaxed
data_YAl2FeHg
_chemical_formula_sum 'Y1 Al2 Fe1 Hg1'
_cell_length_a 4.523
_cell_length_b 4.523
_cell_length_c 5.003
_cell_angle_alpha 90.00
_cell_angle_beta 90.00
_cell_angle_gamma 90.00
_space_group_name_H-M_alt 'P 4/m m m'
_space_group_IT_number 123
_space_group_name_Hall '-P 4 2'
loop_
_atom_site_label
_atom_site_type_symbol
_atom_site_fract_x
_atom_site_fract_y
_atom_site_fract_z
_atom_site_occupancy
Y1 Y 0.000 0.000 0.000 1
Al1 Al 0.000 0.500 0.500 1
Fe1 Fe 0.500 0.500 0.500 1
Hg1 Hg 0.500 0.500 0.000 1
# Fermi-level density of states = 2.45 states/eV/cell
# Crystal system = tetragonal
# Formation energy from the elements = -82 meV/atom

What is the formula in the fourth record? KTa2Cd